Cu4AgSb | PBE | optimized geometry

uncorrected energy	-23.03	eV/cell
uncorrected formation energy	0.055	eV/atom
DOS at the Fermi energy	2.27	states/eV/cell

Lattice parameters (Å, degrees): 5.0260 5.0260 5.0260 60.00 60.00 60.00
Last column: nearest neighbours and their distance in Å.
Atoms (fractional coordinates):
Cu (0.8766, 0.3745, 0.3745)  6 Cu 2.50-2.52
Cu (0.3745, 0.3745, 0.3745)  6 Cu 2.50-2.52
Cu (0.3745, 0.3745, 0.8766)  6 Cu 2.50-2.52
Sb (0.7500, 0.7500, 0.7500)  12 Cu 2.95, 4 Ag 3.08
Cu (0.3745, 0.8766, 0.3745)  6 Cu 2.50-2.52
Ag (0.0000, 0.0000, 0.0000)  12 Cu 2.95, 4 Sb 3.08


CuAgSb2 | PBE | optimized geometry

uncorrected energy	-14.52	eV/cell
uncorrected formation energy	0.169	eV/atom
DOS at the Fermi energy	1.52	states/eV/cell
E above lowest polymorph	43.9	meV per atom

Lattice parameters (Å, degrees): 6.8422 6.8422 6.8422 152.30 143.65 46.31
Last column: nearest neighbours and their distance in Å.
Atoms (fractional coordinates):
Sb (0.0554, 0.0554, 0.0000)  2 Cu 2.78, 4 Ag 3.08
Cu (0.2342, 0.7342, 0.5000)  6 Sb 2.74-2.78, 2 Ag 3.03
Sb (0.7742, 0.2742, 0.5000)  4 Cu 2.74, 2 Ag 2.95
Ag (0.4363, 0.4363, 0.0000)  6 Sb 2.95-3.08, 2 Cu 3.03, 2 Ag 3.28


no.,volume (Å³ per cell)
1,90
2,88